## VZnO4 (GGA+U)

Data for a relaxed structure of VZnO4.

Geometry as CIF:
```
data_VZnO4
_cell_length_a 8.118
_cell_length_b 8.169
_cell_length_c 7.758
_cell_angle_alpha 90.00
_cell_angle_beta 90.00
_cell_angle_gamma 90.00
_symmetry_space_group_name_H-M 'C 2 2 21'
_symmetry_Int_Tables_number 20
loop_
_symmetry_equiv_pos_as_xyz
'x,y,z'
'-x,-y,z+1/2'
'x,-y,-z'
'-x,y,-z+1/2'
'x+1/2,y+1/2,z'
'-x+1/2,-y+1/2,z+1/2'
'x+1/2,-y+1/2,-z'
'-x+1/2,y+1/2,-z+1/2'
loop_
_atom_site_label
_atom_site_type_symbol
_atom_site_fract_x
_atom_site_fract_y
_atom_site_fract_z
V1 V 0.198 0.000 0.000
Zn1 Zn 0.000 0.302 0.250
O1 O 0.074 0.164 0.063
O2 O 0.180 0.436 0.330
```

Properties
Total energy: -6.109 eV/atom
V: 514.49 Å³ per cell